Material: CdCoF3
Method: DFT, PBE with a Hubbard U
State: relaxed Values from VASP.

Computed properties:
- VASP energy (eV/atom) = -3.501
- DOS at the Fermi energy (states/eV/cell) = 17.713
- total magnetic moment (μB per atom) = 0.615

Quantum ESPRESSO input file:
```
&SYSTEM
  ibrav = 0, nat = 5, ntyp = 3
/
ATOMIC_SPECIES
F 19.00 F.upf
Co 58.93 Co.upf
Cd 112.41 Cd.upf
CELL_PARAMETERS angstrom
4.410 0.000 0.000
0.000 4.410 0.000
0.000 0.000 4.410
ATOMIC_POSITIONS crystal
F 0.000 0.500 0.000
F 0.000 0.000 0.500
F 0.500 0.000 0.000
Co 0.500 0.500 0.500
Cd 0.000 0.000 0.000
```